[1]
# TbMgGa2Pt5 | Alexandria | GGA-PBE | optimized geometry
# Crystal system: tetragonal
# DFT total energy, eV/atom: -5.487
# ρ, Mg/m³: 13.43
data_TbMgGa2Pt5
_chemical_formula_sum 'Tb1 Mg1 Ga2 Pt5'
_cell_length_a 4.1198
_cell_length_b 4.1198
_cell_length_c 9.4546
_cell_angle_alpha 90.00
_cell_angle_beta 90.00
_cell_angle_gamma 90.00
_space_group_name_H-M_alt 'P 4/m m m'
_space_group_IT_number 123
_space_group_name_Hall '-P 4 2'
loop_
_atom_site_label
_atom_site_type_symbol
_atom_site_fract_x
_atom_site_fract_y
_atom_site_fract_z
Tb1 Tb 0.0000 0.0000 0.0000
Mg1 Mg 0.0000 0.0000 0.5000
Ga1 Ga 0.5000 0.5000 0.3723
Pt1 Pt 0.0000 0.5000 0.2255
Pt2 Pt 0.5000 0.5000 0.0000


[2]
# Cr2HIrOs | Alexandria | GGA-PBE | optimized geometry
# Crystal system: tetragonal
# DFT total energy, eV/atom: -8.544
# E above lowest polymorph, meV/atom: 0
# ρ, Mg/m³: 14.84
data_Cr2HIrOs
_chemical_formula_sum 'Cr2 H1 Ir1 Os1'
_cell_length_a 3.8049
_cell_length_b 3.8049
_cell_length_c 3.7682
_cell_angle_alpha 90.00
_cell_angle_beta 90.00
_cell_angle_gamma 90.00
_space_group_name_H-M_alt 'P 4/m m m'
_space_group_IT_number 123
_space_group_name_Hall '-P 4 2'
loop_
_atom_site_label
_atom_site_type_symbol
_atom_site_fract_x
_atom_site_fract_y
_atom_site_fract_z
Cr1 Cr 0.0000 0.5000 0.0000
H1 H 0.0000 0.0000 0.0000
Ir1 Ir 0.5000 0.5000 0.5000
Os1 Os 0.0000 0.0000 0.5000


[3]
# InTeSe | Alexandria | GGA-PBE | optimized geometry
# Formation energy without anion corrections, eV/atom: -0.19
# Crystal system: trigonal
# DFT total energy, eV/atom: -3.307
# E above lowest polymorph, meV/atom: 108
# ρ, Mg/m³: 5.62
data_InTeSe
_chemical_formula_sum 'In1 Te1 Se1'
_cell_length_a 3.8500
_cell_length_b 3.8500
_cell_length_c 7.3957
_cell_angle_alpha 90.00
_cell_angle_beta 90.00
_cell_angle_gamma 120.00
_space_group_name_H-M_alt 'P 3 m 1'
_space_group_IT_number 156
loop_
_space_group_symop_operation_xyz
'x,y,z'
'-y,x-y,z'
'-x+y,-x,z'
'-y,-x,z'
'-x+y,y,z'
'x,x-y,z'
loop_
_atom_site_label
_atom_site_type_symbol
_atom_site_fract_x
_atom_site_fract_y
_atom_site_fract_z
In1 In 0.0000 0.0000 0.0000
Te1 Te 0.3333 0.6667 0.7035
Se1 Se 0.6667 0.3333 0.1981


[4]
# NaSbPd4 | Alexandria | GGA-PBE | optimized geometry
# Formation energy without anion corrections, eV/atom: -0.16
# Crystal system: cubic
# DFT total energy, eV/atom: -4.528
# E above lowest polymorph, meV/atom: 68
# ρ, Mg/m³: 8.67
data_NaSbPd4
_chemical_formula_sum 'Na4 Sb4 Pd16'
_cell_length_a 7.5876
_cell_length_b 7.5876
_cell_length_c 7.5876
_cell_angle_alpha 90.00
_cell_angle_beta 90.00
_cell_angle_gamma 90.00
_space_group_name_H-M_alt 'F -4 3 m'
_space_group_IT_number 216
_space_group_name_Hall 'F -4 2 3'
loop_
_atom_site_label
_atom_site_type_symbol
_atom_site_fract_x
_atom_site_fract_y
_atom_site_fract_z
Na1 Na 0.0000 0.0000 0.0000
Sb1 Sb 0.2500 0.2500 0.7500
Pd1 Pd 0.1247 0.1247 0.3753


[5]
# GePd2Au2 | Alexandria | GGA-PBE | optimized geometry
# Crystal system: tetragonal
# DFT total energy, eV/atom: -4.446
# E above lowest polymorph, meV/atom: 0
# ρ, Mg/m³: 12.71
data_GePd2Au2
_chemical_formula_sum 'Ge2 Pd4 Au4'
_cell_length_a 6.4464
_cell_length_b 6.4464
_cell_length_c 4.2733
_cell_angle_alpha 90.00
_cell_angle_beta 90.00
_cell_angle_gamma 90.00
_space_group_name_H-M_alt 'P 4/m b m'
_space_group_IT_number 127
_space_group_name_Hall '-P 4 2ab'
loop_
_atom_site_label
_atom_site_type_symbol
_atom_site_fract_x
_atom_site_fract_y
_atom_site_fract_z
Ge1 Ge 0.0000 0.0000 0.0000
Pd1 Pd 0.1499 0.3501 0.0000
Au1 Au 0.1560 0.6560 0.5000


[6]
# Tl2Ga2Si | Alexandria | GGA-PBE | optimized geometry
# Formation energy without anion corrections, eV/atom: 0.18
# Crystal system: tetragonal
# DFT total energy, eV/atom: -3.058
# ρ, Mg/m³: 7.95
data_Tl2Ga2Si
_chemical_formula_sum 'Tl4 Ga4 Si2'
_cell_length_a 6.6951
_cell_length_b 6.6951
_cell_length_c 5.3700
_cell_angle_alpha 90.00
_cell_angle_beta 90.00
_cell_angle_gamma 90.00
_space_group_name_H-M_alt 'P 4/m b m'
_space_group_IT_number 127
_space_group_name_Hall '-P 4 2ab'
loop_
_atom_site_label
_atom_site_type_symbol
_atom_site_fract_x
_atom_site_fract_y
_atom_site_fract_z
Tl1 Tl 0.1790 0.3210 0.0000
Ga1 Ga 0.1389 0.6389 0.5000
Si1 Si 0.0000 0.0000 0.5000


[7]
# Sc3Co2Rh | Alexandria | GGA-PBE | optimized geometry
# Crystal system: tetragonal
# DFT total energy, eV/atom: -7.340
# ρ, Mg/m³: 6.24
data_Sc3Co2Rh
_chemical_formula_sum 'Sc3 Co2 Rh1'
_cell_length_a 3.1598
_cell_length_b 3.1598
_cell_length_c 9.4741
_cell_angle_alpha 90.00
_cell_angle_beta 90.00
_cell_angle_gamma 90.00
_space_group_name_H-M_alt 'P 4/m m m'
_space_group_IT_number 123
_space_group_name_Hall '-P 4 2'
loop_
_atom_site_label
_atom_site_type_symbol
_atom_site_fract_x
_atom_site_fract_y
_atom_site_fract_z
Sc1 Sc 0.0000 0.0000 0.0000
Sc2 Sc 0.0000 0.0000 0.3244
Co1 Co 0.5000 0.5000 0.1641
Rh1 Rh 0.5000 0.5000 0.5000


[8]
# KCuAgBr4 | Alexandria | GGA-PBE | optimized geometry
# Formation energy without anion corrections, eV/atom: -0.52
# Crystal system: cubic
# DFT total energy, eV/atom: -2.628
# ρ, Mg/m³: 2.27
data_KCuAgBr4
_chemical_formula_sum 'K4 Cu4 Ag4 Br16'
_cell_length_a 11.5762
_cell_length_b 11.5762
_cell_length_c 11.5762
_cell_angle_alpha 90.00
_cell_angle_beta 90.00
_cell_angle_gamma 90.00
_space_group_name_H-M_alt 'F -4 3 m'
_space_group_IT_number 216
_space_group_name_Hall 'F -4 2 3'
loop_
_atom_site_label
_atom_site_type_symbol
_atom_site_fract_x
_atom_site_fract_y
_atom_site_fract_z
K1 K 0.0000 0.0000 0.0000
Cu1 Cu 0.0000 0.0000 0.5000
Ag1 Ag 0.2500 0.2500 0.7500
Br1 Br 0.1193 0.1193 0.6193


Number 1: DOS(E_F) 2.53 states/eV/cell. Number 2: DOS(E_F) 5.08 states/eV/cell. Number 3: DOS(E_F) 1.43 states/eV/cell. Number 4: DOS(E_F) 4.98 states/eV/cell. Number 5: DOS(E_F) 3.33 states/eV/cell. Number 6: DOS(E_F) 3.41 states/eV/cell. Number 7: DOS(E_F) 2.23 states/eV/cell. Number 8: DOS(E_F) 34.88 states/eV/cell.